Record 1
The following is a PBE-GGA calculation of crystalline LaTbCoBr at its relaxed geometry, from the Alexandria database.

It has space group Cm (No. 8), with a = 6.8317 Å, b = 3.9395 Å, c = 8.1869 Å, α = 90.00°, β = 106.04° and γ = 90.00°. The distinct sites, in fractional coordinates, are La at (0.0000, 0.0000, 0.0000), Tb at (0.2062, 0.0000, 0.6211), Co at (0.1030, 0.5000, 0.8113) and Br at (0.2771, 0.5000, 0.3317).

The magnetization comes out at 0.0 μB/cell. The total DFT energy (no corrections) comes out at -0.197 hartree per atom.



Record 2
The following is a PBE-GGA calculation of crystalline Tm3Ag2Au8 at its relaxed geometry, from the Alexandria database.

It has space group R-3m (No. 166, hexagonal axes), with a = 5.4669 Å, b = 5.4669 Å, c = 31.9874 Å, α = 90.00°, β = 90.00° and γ = 120.00°. The distinct sites, in fractional coordinates, are Tm at (0.0000, 0.0000, 0.0000), Tm at (0.0000, 0.0000, 0.1897), Ag at (0.0000, 0.0000, 0.3638), Au at (0.0000, 0.0000, 0.2810) and Au at (0.9998, 0.4999, 0.2275).

The magnetization comes out at 0.0 μB/cell. The calculation puts the calculated formation energy at -8.6 kcal/mol of atoms.